In2SCl2: relaxed, PBE-GGA.

a = 7.575 Å, b = 7.575 Å, c = 4.481 Å
α = 90.00°, β = 90.00°, γ = 90.00°
Element x y z (fractional)
In: 0.207 0.293 0.000
In: 0.293 0.793 0.000
In: 0.707 0.207 0.000
In: 0.793 0.707 0.000
S: 0.000 0.000 0.000
S: 0.500 0.500 0.000
Cl: 0.148 0.648 0.500
Cl: 0.352 0.148 0.500
Cl: 0.648 0.852 0.500
Cl: 0.852 0.352 0.500

Results
E_form (uncorrected) in kJ/mol of atoms: -50
Symmetry: P4/mbm